## Dy3CuSi6Rh2 (PBE)

Data for a geometry-optimized Dy3CuSi6Rh2 structure.

The space group is P-3m1 (No. 164) and the conventional cell measures 5.2791, 5.2791 and 8.9184 Å, with angles of 90.00, 90.00 and 120.00 degrees. Symmetry generates all atoms from Dy at (0.0000, 0.0000, 0.0000), Dy at (0.3333, 0.6667, 0.5795), Cu at (0.0000, 0.0000, 0.5000), Si at (0.1675, 0.3350, 0.2769) and Rh at (0.3333, 0.6667, 0.0689).

The uncorrected formation energy is -465 meV/atom. For the total magnetization, the calculation gives 0.0 μB per cell.